Entry 1:
Here is a relaxed structure of DyYPu2Se4 from Alexandria via LeMat-Bulk. Energies are from PBE-GGA.

Computed properties:
Its size of the total moment is 11.76 μB/cell. The calculation puts the mass density at 8.91 g/cm³. The symmetry is No. 10. The value obtained for the formation energy from raw total energies is -1.674 eV per atom.

Cell lengths 4.0954, 7.0874, 7.1763 Å; angles 109.26, 90.00, 90.00 degrees
Last column: nearest neighbours and their distance in Å.
Atoms (fractional coordinates):
1 Pu 0.0000 0.5000 0.5000  6 Se 2.93
2 Pu 0.5000 0.0000 0.5000  6 Se 2.93
3 Se 0.0000 0.7478 0.2449  2 Dy 2.89, 1 Y 2.89, 3 Pu 2.93
4 Se 0.5000 0.7511 0.7547  1 Dy 2.89, 2 Y 2.89, 3 Pu 2.93
5 Se 0.5000 0.2489 0.2453  1 Dy 2.89, 2 Y 2.89, 3 Pu 2.93
6 Se 0.0000 0.2522 0.7551  2 Dy 2.89, 1 Y 2.89, 3 Pu 2.93
7 Y 0.0000 0.0000 0.0000  6 Se 2.89
8 Dy 0.5000 0.5000 0.0000  6 Se 2.89

Entry 2:
Here is a relaxed structure of K2CaSe2 from Alexandria via LeMat-Bulk. Energies are from PBE-GGA.

Computed properties:
Its polymorph energy (0 for the lowest one) is 217 meV per atom. Its size of the total moment is 0.00 μB/cell. The calculation puts the mass density at 2.88 g/cm³. The symmetry is No. 127. The value obtained for the formation energy from raw total energies is -1.188 eV per atom.

Cell lengths 8.2151, 8.2151, 4.7235 Å; angles 90.00, 90.00, 90.00 degrees
Last column: nearest neighbours and their distance in Å.
Atoms (fractional coordinates):
1 K 0.8709 0.3709 0.5000  1 K 3.00, 2 Se 3.21
2 K 0.1291 0.6291 0.5000  1 K 3.00, 2 Se 3.21
3 K 0.6291 0.8709 0.5000  1 K 3.00, 2 Se 3.21
4 K 0.3709 0.1291 0.5000  1 K 3.00, 2 Se 3.21
5 Se 0.1839 0.3161 0.0000  2 Ca 3.00, 2 K 3.21
6 Se 0.8161 0.6839 0.0000  2 Ca 3.00, 2 K 3.21
7 Se 0.6839 0.1839 0.0000  2 Ca 3.00, 2 K 3.21
8 Se 0.3161 0.8161 0.0000  2 Ca 3.00, 2 K 3.21
9 Ca 0.0000 0.0000 0.0000  4 Se 3.00
10 Ca 0.5000 0.5000 0.0000  4 Se 3.00

Entry 3:
Here is a relaxed structure of BeGeS3 from Alexandria via LeMat-Bulk. Energies are from PBE-GGA.

Computed properties:
Its polymorph energy (0 for the lowest one) is 1297 meV per atom. Its size of the total moment is 0.00 μB/cell. The calculation puts the mass density at 2.94 g/cm³. The symmetry is No. 221. The value obtained for the formation energy from raw total energies is 0.824 eV per atom.

Cell lengths 4.6500, 4.6500, 4.6500 Å; angles 90.00, 90.00, 90.00 degrees
Last column: nearest neighbours and their distance in Å.
Atoms (fractional coordinates):
1 S 0.0000 0.0000 0.5000  2 Ge 2.32
2 S 0.0000 0.5000 0.0000  2 Ge 2.32
3 S 0.5000 0.0000 0.0000  2 Ge 2.32
4 Ge 0.0000 0.0000 0.0000  6 S 2.32
5 Be 0.5000 0.5000 0.5000  12 S 3.29

Entry 4:
Here is a relaxed structure of SrAs2OsO8 from Alexandria via LeMat-Bulk. Energies are from PBE-GGA.

Computed properties:
Its size of the total moment is 2.00 μB/cell. The calculation puts the mass density at 4.96 g/cm³. The symmetry is No. 164. The value obtained for the formation energy from raw total energies is -1.347 eV per atom.

Cell lengths 5.4963, 5.4963, 7.1064 Å; angles 90.00, 90.00, 120.00 degrees
Last column: nearest neighbours and their distance in Å.
Atoms (fractional coordinates):
1 Os 0.0000 0.0000 0.0000  6 O 2.00
2 Sr 0.0000 0.0000 0.5000  6 O 2.69
3 O 0.6667 0.3333 0.4871  1 As 1.68
4 O 0.3144 0.1572 0.1860  1 As 1.74
5 O 0.6856 0.8428 0.8140  1 As 1.74
6 O 0.8428 0.6856 0.1860  1 As 1.74
7 O 0.3333 0.6667 0.5129  1 As 1.68
8 O 0.8428 0.1572 0.1860  1 As 1.74
9 O 0.1572 0.8428 0.8140  1 As 1.74
10 O 0.1572 0.3144 0.8140  1 As 1.74
11 As 0.3333 0.6667 0.7487  4 O 1.68-1.74
12 As 0.6667 0.3333 0.2513  4 O 1.68-1.74

Entry 5:
Here is a relaxed structure of LiNdAl from Alexandria via LeMat-Bulk. Energies are from PBE-GGA.

Computed properties:
Its polymorph energy (0 for the lowest one) is 27 meV per atom. Its size of the total moment is 0.03 μB/cell. The calculation puts the mass density at 4.20 g/cm³. The symmetry is No. 187. The energy of formation comes out at -191 meV per atom.

Cell lengths 3.3030, 4.9606, 4.9606 Å; angles 120.00, 90.00, 90.00 degrees
Last column: nearest neighbours and their distance in Å.
Atoms (fractional coordinates):
1 Li 0.1658 0.0000 0.0000  3 Al 2.86
2 Al 0.1674 0.6667 0.3333  3 Li 2.86
3 Nd 0.6669 0.3333 0.6667  2 Nd 3.30, 6 Li 3.30-3.31, 6 Al 3.31

Entry 6:
Here is a relaxed structure of Sr12Ge3O5 from Alexandria via LeMat-Bulk. Energies are from PBE-GGA.

Computed properties:
Its size of the total moment is 0.00 μB/cell. The calculation puts the mass density at 3.88 g/cm³. The symmetry is No. 230. The value obtained for the formation energy from raw total energies is -1.491 eV per atom.

Cell lengths 14.4278, 14.4278, 14.4278 Å; angles 109.47, 109.47, 109.47 degrees
Last column: nearest neighbours and their distance in Å.
Atoms (fractional coordinates):
1 Sr 0.8994 0.8170 0.5202  1 O 2.42
2 Sr 0.7967 0.4798 0.3792  1 O 2.42
3 Sr 0.3792 0.9798 0.7967  1 O 2.42
4 Sr 0.2033 0.5202 0.6208  1 O 2.42
5 Sr 0.5202 0.3170 0.8994  1 O 2.42
6 Sr 0.8792 0.2967 0.4798  1 O 2.42
7 Sr 0.2967 0.4176 0.8170  1 O 2.42
8 Sr 0.1830 0.1006 0.9798  1 O 2.42
9 Sr 0.9798 0.3792 0.2967  1 O 2.42
10 Sr 0.3792 0.3994 0.0824  1 O 2.42
11 Sr 0.4176 0.1208 0.6006  1 O 2.42
12 Sr 0.1006 0.1830 0.4798  1 O 2.42
13 Sr 0.6830 0.2033 0.5824  1 O 2.42
14 Sr 0.6006 0.6208 0.4176  1 O 2.42
15 Sr 0.2967 0.8792 0.9798  1 O 2.42
16 Sr 0.8170 0.8994 0.0202  1 O 2.42
17 Sr 0.5824 0.7033 0.6830  1 O 2.42
18 Sr 0.3994 0.3792 0.5824  1 O 2.42
19 Sr 0.1006 0.9176 0.1208  1 O 2.42
20 Sr 0.1208 0.7033 0.5202  1 O 2.42
21 Sr 0.7033 0.5824 0.1830  1 O 2.42
22 Sr 0.4798 0.7967 0.8792  1 O 2.42
23 Sr 0.5824 0.8792 0.3994  1 O 2.42
24 Sr 0.6208 0.6006 0.9176  1 O 2.42
25 Sr 0.9176 0.8170 0.7967  1 O 2.42
26 Sr 0.8792 0.5824 0.8994  1 O 2.42
27 Sr 0.0824 0.8994 0.3792  1 O 2.42
28 Sr 0.0202 0.6208 0.7033  1 O 2.42
29 Sr 0.8170 0.9176 0.2967  1 O 2.42
30 Sr 0.0202 0.3994 0.8170  1 O 2.42
31 Sr 0.4798 0.6830 0.1006  1 O 2.42
32 Sr 0.0824 0.1830 0.2033  1 O 2.42
33 Sr 0.8994 0.0824 0.8792  1 O 2.42
34 Sr 0.3170 0.5202 0.3994  1 O 2.42
35 Sr 0.3170 0.7967 0.4176  1 O 2.42
36 Sr 0.6208 0.0202 0.2033  1 O 2.42
37 Sr 0.9798 0.6006 0.1830  1 O 2.42
38 Sr 0.3994 0.0202 0.3170  1 O 2.42
39 Sr 0.7033 0.1208 0.0202  1 O 2.42
40 Sr 0.9176 0.1006 0.6208  1 O 2.42
41 Sr 0.2033 0.6830 0.0824  1 O 2.42
42 Sr 0.1208 0.4176 0.1006  1 O 2.42
43 Sr 0.1830 0.0824 0.7033  1 O 2.42
44 Sr 0.4176 0.2967 0.3170  1 O 2.42
45 Sr 0.5202 0.2033 0.1208  1 O 2.42
46 Sr 0.7967 0.3170 0.9176  1 O 2.42
47 Sr 0.6830 0.4798 0.6006  1 O 2.42
48 Sr 0.6006 0.9798 0.6830  1 O 2.42
49 O 0.7500 0.1250 0.8750  4 Sr 2.42
50 O 0.2500 0.8750 0.1250  4 Sr 2.42
51 O 0.0000 0.0000 0.5000  6 Sr 2.72
52 O 0.1250 0.3750 0.2500  4 Sr 2.42
53 O 0.3750 0.1250 0.7500  4 Sr 2.42
54 O 0.6250 0.8750 0.2500  4 Sr 2.42
55 O 0.5000 0.5000 0.5000  6 Sr 2.72
56 O 0.8750 0.6250 0.7500  4 Sr 2.42
57 O 0.0000 0.5000 0.0000  6 Sr 2.72
58 O 0.8750 0.2500 0.6250  4 Sr 2.42
59 O 0.5000 0.0000 0.5000  6 Sr 2.72
60 O 0.2500 0.3750 0.6250  4 Sr 2.42
61 O 0.1250 0.7500 0.3750  4 Sr 2.42
62 O 0.0000 0.5000 0.5000  6 Sr 2.72
63 O 0.7500 0.6250 0.3750  4 Sr 2.42
64 O 0.5000 0.5000 0.0000  6 Sr 2.72
65 O 0.5000 0.0000 0.0000  6 Sr 2.72
66 O 0.6250 0.7500 0.8750  4 Sr 2.42
67 O 0.0000 0.0000 0.0000  6 Sr 2.72
68 O 0.3750 0.2500 0.1250  4 Sr 2.42
69 Ge 0.8750 0.1250 0.2500  8 Sr 3.19-3.38
70 Ge 0.3750 0.6250 0.2500  8 Sr 3.19-3.38
71 Ge 0.7500 0.8750 0.6250  8 Sr 3.19-3.38
72 Ge 0.1250 0.2500 0.8750  8 Sr 3.19-3.38
73 Ge 0.6250 0.2500 0.3750  8 Sr 3.19-3.38
74 Ge 0.3750 0.7500 0.6250  8 Sr 3.19-3.38
75 Ge 0.2500 0.1250 0.3750  8 Sr 3.19-3.38
76 Ge 0.7500 0.3750 0.1250  8 Sr 3.19-3.38
77 Ge 0.2500 0.6250 0.8750  8 Sr 3.19-3.38
78 Ge 0.1250 0.8750 0.7500  8 Sr 3.19-3.38
79 Ge 0.8750 0.7500 0.1250  8 Sr 3.19-3.38
80 Ge 0.6250 0.3750 0.7500  8 Sr 3.19-3.38